(1)
DFT (PBEsol) results for an optimized crystal structure of Li2Cr3NiO8.

Geometry as extended XYZ:
```
56
Lattice="8.1161 0.0000 0.0000 0.0000 8.1161 0.0000 0.0000 0.0000 8.1161" Properties=species:S:1:pos:R:3 pbc="T T T"
Li 0.0059 0.0059 0.0059
Li 2.0231 2.0231 2.0231
Li 2.0349 6.0929 6.0811
Li 4.0521 8.1101 4.0639
Li 4.0639 4.0521 8.1101
Li 6.0811 2.0349 6.0929
Li 6.0929 6.0811 2.0349
Li 8.1101 4.0639 4.0521
Cr 1.0002 5.0725 1.0288
Cr 1.0145 3.0292 7.1158
Cr 1.0288 1.0002 5.0725
Cr 3.0292 7.1158 1.0145
Cr 3.0435 5.0868 3.0578
Cr 3.0578 3.0435 5.0868
Cr 5.0582 7.1015 7.0873
Cr 5.0725 1.0288 1.0002
Cr 5.0868 3.0578 3.0435
Cr 7.0873 5.0582 7.1015
Cr 7.1015 7.0873 5.0582
Cr 7.1158 1.0145 3.0292
Ni 1.0145 7.1015 3.0435
Ni 3.0435 1.0145 7.1015
Ni 5.0725 5.0725 5.0725
Ni 7.1015 3.0435 1.0145
O 0.9005 3.1503 0.9252
O 0.9125 4.9705 7.2036
O 0.9077 7.1909 4.9585
O 0.9252 0.9005 3.1503
O 1.1039 6.9947 1.1285
O 1.1165 2.9415 5.1746
O 1.1213 5.1865 2.9542
O 1.1285 1.1039 6.9947
O 2.9295 7.0122 2.9367
O 2.9367 2.9295 7.0122
O 2.9415 5.1746 1.1165
O 2.9542 1.1213 5.1865
O 3.1329 7.2155 7.2084
O 3.1503 0.9252 0.9005
O 3.1456 3.1456 3.1456
O 3.1575 4.9657 4.9832
O 4.9585 0.9077 7.1909
O 4.9657 4.9832 3.1575
O 4.9705 7.2036 0.9125
O 4.9832 3.1575 4.9657
O 5.1619 5.1794 6.9875
O 5.1746 1.1165 2.9415
O 5.1794 6.9875 5.1619
O 5.1865 2.9542 1.1213
O 6.9875 5.1619 5.1794
O 6.9947 1.1285 1.1039
O 6.9995 6.9995 6.9995
O 7.0122 2.9367 2.9295
O 7.1909 4.9585 0.9077
O 7.2036 0.9125 4.9705
O 7.2084 3.1329 7.2155
O 7.2155 7.2084 3.1329
```

Computed properties:
- Electronic total energy: -7.708 eV per atom
- V: 534.61 Å³ per cell


(2)
DFT (PBEsol) results for an optimized crystal structure of Li4Cr3NiO8.

Geometry as extended XYZ:
```
16
Lattice="2.8823 1.6641 4.7326 -2.8823 1.6641 4.7326 0.0000 -3.3282 4.7326" Properties=species:S:1:pos:R:3 pbc="T T T"
Li 0.0000 0.0000 0.0000
Li -1.4412 -0.8321 4.7326
Li -1.4412 0.8321 9.4652
Li 0.0000 1.6641 4.7326
Cr -2.8823 0.0000 7.0989
Cr -1.4412 0.8321 2.3663
Cr 1.4412 0.8321 2.3663
Ni 0.0000 0.0000 7.0989
O -1.4839 -0.8568 8.1737
O 0.0000 0.0000 3.4372
O 0.0000 -1.7135 6.0241
O -1.4839 0.8568 6.0241
O 1.4839 -0.8568 8.1737
O 0.0000 1.7135 8.1737
O 0.0000 0.0000 10.7605
O 1.4839 0.8567 6.0241
```

Computed properties:
- Electronic total energy: -7.296 eV per atom
- V: 136.20 Å³ per cell


(3)
DFT (PBEsol) results for an optimized crystal structure of Li5Cr3NiO8.

Geometry as extended XYZ:
```
68
Lattice="8.3103 0.0000 0.0000 0.0000 8.3103 0.0000 0.0000 0.0000 8.3103" Properties=species:S:1:pos:R:3 pbc="T T T"
Li 0.4589 0.4589 0.4589
Li 0.9131 7.1457 7.2715
Li 1.0388 5.0682 5.3196
Li 1.1645 3.1163 3.2421
Li 1.6187 1.6187 1.6187
Li 2.5364 6.6916 5.7738
Li 2.9906 5.1939 7.3972
Li 3.1163 3.2421 1.1645
Li 3.2421 1.1645 3.1163
Li 3.6963 7.8514 4.6140
Li 4.6140 3.6963 7.8514
Li 5.0682 5.3196 1.0388
Li 5.1939 7.3972 2.9906
Li 5.3196 1.0388 5.0682
Li 5.7738 2.5364 6.6916
Li 6.6916 5.7738 2.5364
Li 7.1457 7.2715 0.9131
Li 7.2715 0.9131 7.1457
Li 7.3972 2.9906 5.1939
Li 7.8514 4.6140 3.6963
Cr 1.0077 5.1939 1.0699
Cr 1.0388 3.0853 7.3026
Cr 1.0699 1.0077 5.1939
Cr 3.0853 7.3026 1.0388
Cr 3.1163 5.2250 3.1474
Cr 3.1474 3.1163 5.2250
Cr 5.1628 7.2715 7.2404
Cr 5.1939 1.0699 1.0077
Cr 5.2250 3.1474 3.1163
Cr 7.2404 5.1628 7.2715
Cr 7.2715 7.2404 5.1628
Cr 7.3026 1.0388 3.0853
Ni 1.0388 7.2715 3.1163
Ni 3.1163 1.0388 7.2715
Ni 5.1939 5.1939 5.1939
Ni 7.2715 3.1163 1.0388
O 0.9404 7.3335 5.1986
O 0.9538 5.1090 7.3564
O 0.9768 1.0435 3.2147
O 1.0341 1.1008 7.1731
O 1.0435 3.2147 0.9768
O 1.1008 7.1731 1.0341
O 1.1237 3.0314 5.2789
O 1.1371 5.1892 3.0543
O 3.0180 3.1211 7.2095
O 3.0314 5.2789 1.1237
O 3.0543 1.1371 5.1892
O 3.1116 5.0956 5.1319
O 3.1211 7.2095 3.0180
O 3.1783 7.2668 7.3698
O 3.2013 3.2013 3.2013
O 3.2147 0.9768 1.0435
O 5.0956 5.1319 3.1116
O 5.1090 7.3564 0.9538
O 5.1319 3.1116 5.0956
O 5.1892 3.0543 1.1371
O 5.1986 0.9404 7.3335
O 5.2559 5.2923 7.2762
O 5.2789 1.1237 3.0314
O 5.2923 7.2762 5.2559
O 7.1731 1.0341 1.1008
O 7.1865 7.1865 7.1865
O 7.2095 3.0180 3.1211
O 7.2668 7.3698 3.1783
O 7.2762 5.2559 5.2923
O 7.3335 5.1986 0.9404
O 7.3564 0.9538 5.1090
O 7.3698 3.1783 7.2668
```

Computed properties:
- Electronic total energy: -6.997 eV per atom
- V: 573.91 Å³ per cell


(4)
DFT (PBEsol) results for an optimized crystal structure of Li4Cr2Ni3Sb3O16.

Geometry as extended XYZ:
```
28
Lattice="5.1884 -2.9843 0.0000 5.1884 2.9843 0.0000 -0.2468 0.0000 9.2963" Properties=species:S:1:pos:R:3 pbc="T T T"
Li 0.0000 0.0000 0.0000
Li 2.4026 0.0000 0.8919
Li 5.6386 0.0000 5.1709
Li 9.2708 0.0000 4.1949
Cr 2.0999 0.0000 4.3090
Cr 5.3927 0.0000 9.0977
Ni 0.3946 0.0000 6.8620
Ni 4.8454 1.4607 2.2745
Ni 4.8454 -1.4607 2.2745
Sb 2.9419 1.4851 6.9797
Sb 2.9419 -1.4851 6.9797
Sb 7.4003 0.0000 2.2413
O 3.0324 1.4961 3.3469
O 0.5239 0.0000 3.3047
O 4.6343 1.5168 8.0009
O 2.0739 0.0000 8.0457
O 3.6853 0.0000 5.7710
O 6.6053 1.6558 5.7040
O 6.5060 1.3262 0.9752
O 4.2537 0.0000 1.0717
O 3.0324 -1.4961 3.3469
O 5.6812 0.0000 3.2515
O 7.2047 0.0000 7.9502
O 4.6343 -1.5168 8.0009
O 6.5060 -1.3262 0.9752
O 9.0019 0.0000 5.9642
O 9.1975 0.0000 1.3834
O 6.6053 -1.6558 5.7040
```

Computed properties:
- Electronic total energy: -6.661 eV per atom
- V: 287.89 Å³ per cell


(5)
DFT (PBEsol) results for an optimized crystal structure of Li4Cr2Ni3Te3O16.

Geometry as extended XYZ:
```
28
Lattice="5.9535 0.0000 0.0000 -2.8764 5.2440 0.0000 -0.0716 -0.3056 9.5392" Properties=species:S:1:pos:R:3 pbc="T T T"
Li 0.0000 0.0000 0.0000
Li -1.8944 4.8280 4.4679
Li 1.1922 2.8841 5.2664
Li 4.0313 1.3437 1.0094
Cr 1.1893 2.6832 9.4337
Cr 4.2696 0.9968 4.5655
Ni 1.1491 1.2952 2.3727
Ni 2.6673 3.8703 2.3870
Ni 5.5007 0.1634 7.1585
Te -0.2922 3.8753 2.3671
Te 2.6643 0.1551 7.5439
Te 4.0586 2.7067 7.0715
O -1.6913 3.0667 3.4266
O -0.4271 1.7856 5.7992
O -1.8117 4.4754 6.2683
O -1.7626 4.7843 1.4422
O -0.1828 2.3309 1.1249
O 1.0648 0.9235 8.4729
O -0.2594 3.6073 8.2865
O 2.6466 0.2671 3.4577
O 1.1492 3.0040 3.3591
O 1.1493 4.5487 1.1688
O 2.4283 2.2876 1.1939
O 1.3077 4.8527 5.7217
O 2.9717 2.0118 5.4696
O 2.5101 3.5398 8.2154
O 4.2061 0.6343 8.6675
O 5.5328 0.4008 3.3935
```

Computed properties:
- Electronic total energy: -6.356 eV per atom
- V: 297.82 Å³ per cell


(6)
DFT (PBEsol) results for an optimized crystal structure of Li4Cr3Ni3W2O16.

Geometry as extended XYZ:
```
28
Lattice="4.9986 -2.9018 0.0000 4.9986 2.9018 0.0000 -0.1499 0.0000 9.4695" Properties=species:S:1:pos:R:3 pbc="T T T"
Li 0.0000 0.0000 0.0000
Li -0.0457 0.0000 4.7759
Li 3.2698 0.0000 5.5846
Li 6.6464 0.0000 0.8318
Cr 4.0830 1.4307 2.6408
Cr 4.0830 -1.4307 2.6408
Cr 8.1666 0.0000 7.3593
Ni 1.6510 0.0000 2.6582
Ni 5.7266 1.4248 7.3883
Ni 5.7266 -1.4248 7.3883
W 3.3032 0.0000 0.0290
W 6.5727 0.0000 4.7989
O 2.5956 1.3025 1.3985
O 3.9564 1.4267 8.5561
O 1.5450 0.0000 8.5885
O 3.3299 0.0000 3.6427
O 5.7658 1.4030 3.8135
O 4.7720 0.0000 1.4630
O 2.5956 -1.3025 1.3985
O 5.1187 0.0000 6.1001
O 7.3824 1.2661 6.0986
O 3.9564 -1.4267 8.5561
O 6.5645 0.0000 8.3531
O 5.7658 -1.4030 3.8135
O 8.2382 0.0000 3.7515
O 7.3824 -1.2661 6.0986
O 9.9142 0.0000 1.7763
O 9.8671 0.0000 6.5487
```

Computed properties:
- Electronic total energy: -7.779 eV per atom
- V: 274.71 Å³ per cell


(7)
DFT (PBEsol) results for an optimized crystal structure of Li8CrO6.

Geometry as extended XYZ:
```
30
Lattice="5.4717 0.0000 0.0000 -2.7359 4.7386 0.0000 0.0000 0.0000 10.6896" Properties=species:S:1:pos:R:3 pbc="T T T"
Li -0.8533 1.4779 0.0000
Li -1.0721 1.8570 6.8308
Li -1.6637 2.8817 1.4860
Li -1.8826 3.2607 5.3448
Li 1.7065 0.0000 0.0000
Li 0.8533 1.4779 5.3448
Li 0.0000 3.1591 3.8470
Li 0.0000 3.1591 9.1918
Li 2.1442 0.0000 6.8308
Li 1.0721 1.8570 1.4860
Li 3.3275 0.0000 1.4860
Li 1.6637 2.8817 6.8308
Li 2.7359 1.5795 3.8470
Li 2.7359 1.5795 9.1918
Li 3.7652 0.0000 5.3448
Li 1.8826 3.2607 0.0000
Cr 0.0000 0.0000 2.9082
Cr 0.0000 0.0000 8.2530
O 0.0000 0.0000 1.0901
O 0.0000 0.0000 6.4349
O -0.8449 1.4634 8.7345
O -1.8910 3.2752 3.3897
O 1.6898 0.0000 8.7345
O 0.8449 1.4634 3.3897
O 0.0000 3.1591 0.5323
O 0.0000 3.1591 5.8771
O 2.7359 1.5795 0.5323
O 2.7359 1.5795 5.8771
O 3.7819 0.0000 3.3897
O 1.8910 3.2752 8.7345
```

Computed properties:
- Electronic total energy: -5.756 eV per atom
- V: 277.16 Å³ per cell


(8)
DFT (PBEsol) results for an optimized crystal structure of LiCr2O4.

Geometry as extended XYZ:
```
7
Lattice="4.9817 0.0000 0.0000 0.0000 2.8839 0.0000 -1.7304 0.0000 4.7915" Properties=species:S:1:pos:R:3 pbc="T T T"
Li 0.0000 0.0000 0.0000
Cr -0.8652 1.4420 2.3958
Cr 1.6256 0.0000 2.3958
O -0.0523 0.0000 3.3642
O 0.7758 1.4420 1.3700
O 2.4754 1.4420 3.4216
O 3.3035 0.0000 1.4274
```

Computed properties:
- Electronic total energy: -8.156 eV per atom
- V: 68.84 Å³ per cell


(9)
DFT (PBEsol) results for an optimized crystal structure of Li6Cr2O7.

Geometry as extended XYZ:
```
15
Lattice="4.8016 -2.8376 0.0000 4.8016 2.8376 0.0000 -1.7692 0.0000 4.6242" Properties=species:S:1:pos:R:3 pbc="T T T"
Li 0.9150 0.0000 0.9057
Li 3.1082 1.2737 1.0645
Li 4.7258 1.2737 3.5597
Li 3.1082 -1.2737 1.0645
Li 4.7258 -1.2737 3.5597
Li 6.9190 0.0000 3.7185
Cr 2.2155 0.0000 3.4030
Cr 5.6185 0.0000 1.2211
O 1.5162 1.4188 2.3121
O 0.6823 0.0000 4.3788
O 4.8016 1.2679 0.0000
O 1.5162 -1.4188 2.3121
O 3.9170 0.0000 2.3121
O 4.8016 -1.2679 0.0000
O 7.1518 0.0000 0.2453
```

Computed properties:
- Electronic total energy: -6.597 eV per atom
- V: 126.01 Å³ per cell


(10)
DFT (PBEsol) results for an optimized crystal structure of Li15Cr2O12.

Geometry as extended XYZ:
```
29
Lattice="5.2230 0.0000 0.0000 0.1191 5.8533 0.0000 0.0370 0.5892 7.9203" Properties=species:S:1:pos:R:3 pbc="T T T"
Li 0.0000 0.0000 0.0000
Li 0.1172 4.6020 3.4265
Li 0.4797 3.1031 5.9119
Li 1.1595 0.8949 5.7126
Li 1.2163 2.4496 3.5397
Li 1.9690 5.8849 3.7216
Li 1.8767 1.4781 1.3653
Li 2.3599 4.9176 6.9634
Li 2.7644 1.7874 7.1428
Li 2.9041 3.9963 4.5523
Li 3.1346 5.3180 1.7357
Li 3.6378 3.0396 2.3157
Li 4.4651 3.2351 7.9012
Li 4.6606 5.4035 5.8717
Li 4.7485 0.8820 2.4561
Cr 1.1189 3.9438 1.0762
Cr 3.7340 1.5560 4.7579
O 0.0443 0.4891 4.2381
O 0.2598 2.3962 1.5973
O 0.4145 4.5295 7.1999
O 1.9840 5.7052 0.3690
O 1.9655 4.1893 2.8052
O 2.1947 2.4569 5.3740
O 2.6135 3.0033 0.4742
O 2.9287 5.7457 5.3395
O 2.9581 1.3147 2.9901
O 4.5716 3.1320 4.2810
O 4.5804 1.6320 6.5249
O 4.9265 4.9841 1.6420
```

Computed properties:
- Electronic total energy: -5.788 eV per atom
- V: 242.14 Å³ per cell


(11)
DFT (PBEsol) results for an optimized crystal structure of LiCr2O5.

Geometry as extended XYZ:
```
32
Lattice="7.9555 0.0000 0.0000 0.0000 5.9108 0.0000 0.0000 0.0000 7.9319" Properties=species:S:1:pos:R:3 pbc="T T T"
Li 1.2136 1.4777 1.1871
Li 2.7641 4.4331 5.1531
Li 5.1913 1.4777 2.7788
Li 6.7419 4.4331 6.7448
Cr 0.0000 0.0000 3.9660
Cr 0.0000 2.9554 3.9660
Cr 1.3386 4.4331 1.2342
Cr 2.6392 1.4777 5.2002
Cr 3.9777 0.0000 0.0000
Cr 3.9777 2.9554 0.0000
Cr 5.3163 4.4331 2.7318
Cr 6.6169 1.4777 6.6977
O 0.0877 4.4331 0.2277
O 0.4766 1.4777 2.9420
O 0.7616 4.4331 2.8757
O 1.6830 0.1205 4.9402
O 1.6830 2.8350 4.9402
O 2.2947 3.0759 0.9742
O 2.2947 5.7904 0.9742
O 3.2161 1.4777 6.8416
O 3.5011 4.4331 6.9080
O 3.8900 1.4777 4.1937
O 4.0655 4.4331 3.7382
O 4.4544 1.4777 1.0239
O 4.7393 4.4331 1.0903
O 5.6608 0.1205 6.9577
O 5.6608 2.8350 6.9577
O 6.2725 3.0759 2.9917
O 6.2725 5.7904 2.9917
O 7.1939 1.4777 5.0562
O 7.4789 4.4331 4.9899
O 7.8678 1.4777 7.7042
```

Computed properties:
- Electronic total energy: -7.963 eV per atom
- V: 372.99 Å³ per cell